# TbSm5Dy3 (GGA-PBE, relaxed)
data_TbSm5Dy3
_chemical_formula_sum 'Tb2 Sm10 Dy6'
_symmetry_space_group_name_H-M 'P 1'
_symmetry_Int_Tables_number 1
_symmetry_space_group_name_Hall 'P 1'
_cell_length_a 12.120
_cell_length_b 12.120
_cell_length_c 11.543
_cell_angle_alpha 43.94
_cell_angle_beta 43.94
_cell_angle_gamma 32.25
loop_
_atom_site_label
_atom_site_fract_x
_atom_site_fract_y
_atom_site_fract_z
Tb1 0.238 0.762 0.250
Sm1 0.265 0.079 0.504
Dy1 0.000 0.000 0.500
Sm2 0.388 0.392 0.670
Sm3 0.314 0.686 0.750
Dy2 0.160 0.362 0.607
Dy3 0.362 0.160 0.107
Sm4 0.921 0.735 0.996
Dy4 0.638 0.840 0.893
Sm5 0.612 0.608 0.330
Sm6 0.686 0.314 0.250
Sm7 0.392 0.388 0.170
Sm8 0.608 0.612 0.830
Sm9 0.079 0.265 0.004
Dy5 0.000 0.000 0.000
Dy6 0.840 0.638 0.393
Tb2 0.762 0.238 0.750
Sm10 0.735 0.921 0.496
# Energy above the most stable polymorph in this dataset: 0 meV/atom
# DFT formation energy: 1.56 eV per formula unit
# Space group: No. 15

=====

# K2Cd12Sn7 (GGA-PBE, relaxed)
data_K2Cd12Sn7
_chemical_formula_sum 'K2 Cd12 Sn7'
_symmetry_space_group_name_H-M 'P 1'
_symmetry_Int_Tables_number 1
_symmetry_space_group_name_Hall 'P 1'
_cell_length_a 4.843
_cell_length_b 11.824
_cell_length_c 11.824
_cell_angle_alpha 120.00
_cell_angle_beta 90.00
_cell_angle_gamma 90.00
loop_
_atom_site_label
_atom_site_fract_x
_atom_site_fract_y
_atom_site_fract_z
Cd1 0.238 0.127 0.264
Cd2 0.238 0.137 0.873
Sn1 0.500 0.000 0.000
Cd3 0.762 0.863 0.127
Cd4 0.762 0.873 0.736
Sn2 0.754 0.094 0.676
Cd5 0.258 0.657 0.078
Cd6 0.238 0.736 0.863
Sn3 0.246 0.676 0.582
Cd7 0.742 0.078 0.421
Sn4 0.754 0.582 0.906
Cd8 0.742 0.343 0.922
Cd9 0.742 0.579 0.657
Cd10 0.258 0.421 0.343
Sn5 0.754 0.324 0.418
K1 0.250 0.333 0.667
K2 0.750 0.667 0.333
Sn6 0.246 0.418 0.094
Sn7 0.246 0.906 0.324
Cd11 0.762 0.264 0.137
Cd12 0.258 0.922 0.579
# DFT formation energy: -0.84 eV per formula unit
# Space group: No. 147

=====

# CeSm3Er2P6 (GGA-PBE, relaxed)
data_CeSm3Er2P6
_chemical_formula_sum 'Ce1 Sm3 Er2 P6'
_symmetry_space_group_name_H-M 'P 1'
_symmetry_Int_Tables_number 1
_symmetry_space_group_name_Hall 'P 1'
_cell_length_a 7.017
_cell_length_b 7.017
_cell_length_c 7.030
_cell_angle_alpha 99.58
_cell_angle_beta 99.58
_cell_angle_gamma 119.99
loop_
_atom_site_label
_atom_site_fract_x
_atom_site_fract_y
_atom_site_fract_z
P1 0.585 0.919 0.757
Ce1 0.000 0.000 0.000
Er1 0.667 0.333 0.000
Er2 0.333 0.667 0.000
Sm1 0.500 0.500 0.500
Sm2 0.834 0.166 0.500
P2 0.919 0.585 0.757
P3 0.415 0.081 0.243
P4 0.081 0.415 0.243
P5 0.746 0.746 0.241
P6 0.254 0.254 0.759
Sm3 0.166 0.834 0.500
# DFT formation energy: -18.93 eV per formula unit
# Space group: No. 12

=====

# NaCo2Tc (GGA-PBE, relaxed)
data_NaCo2Tc
_chemical_formula_sum 'Na2 Co4 Tc2'
_symmetry_space_group_name_H-M 'P 1'
_symmetry_Int_Tables_number 1
_symmetry_space_group_name_Hall 'P 1'
_cell_length_a 6.760
_cell_length_b 6.760
_cell_length_c 5.507
_cell_angle_alpha 52.13
_cell_angle_beta 52.13
_cell_angle_gamma 90.00
loop_
_atom_site_label
_atom_site_fract_x
_atom_site_fract_y
_atom_site_fract_z
Na1 0.500 0.500 0.000
Co1 0.875 0.925 0.750
Tc1 0.000 0.000 0.000
Co2 0.375 0.325 0.750
Co3 0.675 0.125 0.250
Na2 0.250 0.750 0.500
Co4 0.075 0.625 0.250
Tc2 0.750 0.250 0.500
# Energy above the most stable polymorph in this dataset: 269 meV/atom
# DFT formation energy: 4.01 eV per formula unit
# Space group: No. 122

=====

Q: DFT formation energy of number 3 (CeSm3Er2P6)?
A: -18.93 eV per formula unit